DFT (PBE-GGA) results for a relaxed structure of ZnBi2As2.

abc: 7.875 7.875 4.071
angles: 90.00 90.00 90.00
Element x y z (fractional)
Zn1 0.500 0.500 0.000
As1 0.158 0.342 0.000
Bi1 0.346 0.154 0.500
Bi2 0.154 0.654 0.500
Bi3 0.846 0.346 0.500
As2 0.658 0.158 0.000
Zn2 0.000 0.000 0.000
Bi4 0.654 0.846 0.500
As3 0.842 0.658 0.000
As4 0.342 0.842 0.000

## Properties
- DFT total energy (hartree per atom) = -0.1263
- density (Mg/m³) = 8.33
- volume (A^3/atom) = 25.249